(1)
ZrScP PBE-GGA optimized geometry; space-group type = No. 46; VASP energy = -46.50 eV for the cell shown; E_form = -986.9 meV/atom
1.0
-2.646 3.237 3.240
2.646 -3.237 3.240
2.646 3.237 -3.240
Zr Sc P
2 2 2
direct
0.162 0.250 0.412
0.838 0.750 0.588
0.165 0.574 0.091
0.483 0.074 0.909
0.665 0.165 0.500
0.665 0.665 0.000

***

(2)
NbVIrRh2 PBE-GGA optimized geometry; space-group type = No. 63; VASP energy = -88.12 eV for the cell shown; E_form = -261.6 meV/atom
1.0
1.394 -6.377 0.000
1.394 6.377 0.000
0.000 0.000 8.628
Nb V Ir Rh
2 2 2 4
direct
0.166 0.834 0.750
0.834 0.166 0.250
0.000 0.000 0.000
0.000 0.000 0.500
0.474 0.526 0.750
0.526 0.474 0.250
0.183 0.817 0.084
0.183 0.817 0.416
0.817 0.183 0.584
0.817 0.183 0.916

***

What did the first record say?
ZrScP PBE-GGA optimized geometry; space-group type = No. 46; VASP energy = -46.50 eV for the cell shown; E_form = -986.9 meV/atom
1.0
-2.646 3.237 3.240
2.646 -3.237 3.240
2.646 3.237 -3.240
Zr Sc P
2 2 2
direct
0.162 0.250 0.412
0.838 0.750 0.588
0.165 0.574 0.091
0.483 0.074 0.909
0.665 0.165 0.500
0.665 0.665 0.000